Record 1
First-principles (PBE-GGA) data for an optimized crystal structure of Pa5Ge4P, as listed in the Alexandria database.

**Formation enthalpy at 0 K**: -59 kJ/mol of atoms

```
Pa5Ge4P
1.0
-4.585 4.585 2.902
4.585 -4.585 2.902
4.585 4.585 -2.902
Pa Ge P
5 4 1
direct
0.000 0.000 0.000
0.208 0.599 0.806
0.401 0.208 0.609
0.599 0.792 0.391
0.792 0.401 0.194
0.097 0.302 0.399
0.302 0.903 0.205
0.698 0.097 0.795
0.903 0.698 0.601
0.500 0.500 0.000
```

Record 2
First-principles (PBE-GGA) data for an optimized crystal structure of Nd4SiSnTe2, as listed in the Alexandria database.

**Formation energy without anion corrections**: -1.11 eV/atom

```
Nd4SiSnTe2
1.0
7.726 0.000 0.000
0.000 4.432 0.000
-2.547 0.000 7.377
Nd Si Sn Te
4 1 1 2
direct
0.233 0.000 0.227
0.245 0.500 0.764
0.755 0.500 0.236
0.767 0.000 0.773
0.000 0.500 0.000
0.500 0.000 0.000
0.000 0.000 0.500
0.500 0.500 0.500
```

Record 3
First-principles (PBE-GGA) data for an optimized crystal structure of CuRhSe, as listed in the Alexandria database.

**Formation energy without anion corrections**: 0.10 eV/atom
**Polymorph energy (0 for the lowest one)**: 0.105 eV per atom

```
CuRhSe
1.0
2.918 0.000 0.000
0.000 3.223 0.000
0.000 0.000 5.343
Cu Rh Se
1 1 1
direct
0.000 0.000 0.000
0.500 0.500 0.299
0.500 0.000 0.625
```

Number 1: magnetic moment 0.00 μB/f.u.. Number 2: magnetic moment 0.00 μB/f.u.. Number 3: magnetic moment 0.00 μB/f.u..